BaNiHg2: optimized geometry, PBE.

Geometry as extended XYZ:
```
4
Lattice="4.5105 0.0000 0.0000 0.0000 4.5105 0.0000 0.0000 0.0000 5.3660" Properties=species:S:1:pos:R:3 pbc="T T T"
Ba 0.0000 0.0000 0.0000
Ni 2.2552 2.2552 0.0000
Hg 0.0000 2.2552 2.6830
Hg 2.2552 0.0000 2.6830
```

Output
The calculated volume comes out at 27.292 Å³ per atom. The theoretical density is 9.08 g/cm3. The value obtained for the formation energy is 87 meV per atom. Its crystal system is tetragonal.